DFT (PBE-GGA) results for a geometry-optimized NdSiGe structure.

Cell lengths 6.046, 6.046, 6.046 Å; angles 140.36, 99.47, 93.75 degrees
Element x y z (fractional)
1 Nd 0.248 0.248 0.000
2 Nd 0.752 0.752 0.000
3 Si 0.152 0.500 0.652
4 Si 0.848 0.500 0.348
5 Ge 0.327 0.000 0.327
6 Ge 0.673 0.000 0.673

Results
ρ: 6.14 Mg/m³
Formation energy (no corrections): -1.71 eV per formula unit
Excess energy over the best structure of this formula in the dataset: 0.029 eV/atom

=====

DFT (PBE-GGA) results for a geometry-optimized Nd8SiGe5 structure.

Cell lengths 7.944, 7.944, 7.944 Å; angles 109.45, 109.45, 109.52 degrees
Element x y z (fractional)
1 Nd 0.124 0.245 0.749
2 Nd 0.124 0.743 0.749
3 Nd 0.257 0.006 0.381
4 Nd 0.495 0.374 0.251
5 Nd 0.625 0.876 0.619
6 Nd 0.626 0.876 0.121
7 Nd 0.755 0.505 0.879
8 Nd 0.994 0.375 0.251
9 Si 0.750 0.250 0.500
10 Ge 0.000 0.000 0.000
11 Ge 0.250 0.625 0.125
12 Ge 0.375 0.500 0.625
13 Ge 0.500 0.125 0.875
14 Ge 0.875 0.750 0.375

Results
ρ: 6.65 Mg/m³
Formation energy (no corrections): -11.02 eV per formula unit